Entry 1:
First-principles (PBE-GGA) data for crystalline YNbAs at its relaxed geometry, as listed in the Open Quantum Materials Database.

abc: 6.4649 6.4649 6.4649
angles: 90.00 90.00 90.00
Closest atoms and distances in Å follow each position.
Space group F-43m (No. 216)
Asymmetric unit:
Y (0.0000, 0.0000, 0.0000) [4 per cell]  4 As 2.80
Nb (0.0000, 0.0000, 0.5000) [4 per cell]  4 As 2.80
As (0.2500, 0.2500, 0.7500) [4 per cell]  4 Nb 2.80, 4 Y 2.80

Summary:
As for the theoretical density: 6.31 g/cm³. For the total magnetization, the calculation gives 0.067 μB/f.u.

Entry 2:
First-principles (PBE-GGA) data for crystalline ZnBiPt2 at its relaxed geometry, as listed in the Open Quantum Materials Database.

abc: 6.6541 6.6541 6.6541
angles: 90.00 90.00 90.00
Closest atoms and distances in Å follow each position.
Space group F-43m (No. 216)
Asymmetric unit:
Zn (0.0000, 0.0000, 0.0000) [4 per cell]  4 Bi 2.88, 4 Pt 2.88
Bi (0.2500, 0.2500, 0.7500) [4 per cell]  4 Pt 2.88, 4 Zn 2.88
Pt (0.0000, 0.0000, 0.5000) [4 per cell]  4 Pt 2.88, 4 Bi 2.88
Pt (0.2500, 0.2500, 0.2500) [4 per cell]  4 Pt 2.88, 4 Zn 2.88

Summary:
As for the theoretical density: 14.98 g/cm³. For the total magnetization, the calculation gives 0.002 μB/f.u.

E (computed, eV/f.u.): -22.2, -17.5